(1)
Density functional theory data (GGA-PBE) for crystalline YSb3Pt at its relaxed geometry.

Cell and atoms, written as POSCAR:
```
YSb3Pt
1.0
-5.2336 -0.6299 0.2333
-0.1965 -0.3169 -5.2634
0.6424 -5.2292 0.2909
Y Sb Pt
1 3 1
direct
0.5000 0.5000 0.5000 Y
0.0000 0.5000 0.0000 Sb
0.0000 0.0000 0.5000 Sb
0.5000 0.0000 0.0000 Sb
0.0000 0.0000 0.0000 Pt
```

- M_tot: 0.00 μB/atom
- Relative energy among the computed polymorphs: 0.000 eV per atom
- Symmetry: No. 221
- Uncorrected formation energy: -0.04 eV per formula unit
- Total energy: -4.98 eV per atom

(2)
Density functional theory data (GGA-PBE) for crystalline YSb2Pt at its relaxed geometry.

Cell and atoms, written as POSCAR:
```
YSb2Pt
1.0
3.3783 -0.0024 0.0000
0.0022 3.3783 0.0000
0.0000 0.0000 8.8833
Pt Sb Y
1 2 1
direct
0.5000 0.5000 0.7511 Pt
0.0000 0.0000 0.9264 Sb
0.5000 0.5000 0.2826 Sb
0.0000 0.0000 0.5400 Y
```

- M_tot: 0.00 μB/atom
- Symmetry: No. 99
- Uncorrected formation energy: -2.18 eV per formula unit
- Total energy: -5.73 eV per atom

(3)
Density functional theory data (GGA-PBE) for crystalline YSb2Pt at its relaxed geometry.

Cell and atoms, written as POSCAR:
```
YSb2Pt
1.0
-0.9256 -4.6247 0.0453
4.4631 -0.9054 -1.2451
1.0553 -0.1729 3.9085
Pt Sb Y
1 2 1
direct
0.0000 0.5000 0.5000 Pt
0.0000 0.0000 0.0000 Sb
0.5000 0.5000 0.0000 Sb
0.5000 0.0000 0.5000 Y
```

- M_tot: 0.00 μB/atom
- Symmetry: No. 123
- Uncorrected formation energy: -2.44 eV per formula unit
- Total energy: -5.80 eV per atom